Ni2AgRu | meta-GGA SCAN | PBEsol geometry

Cell and atoms, written as CIF:
```
data_Ni2AgRu
_chemical_formula_sum 'Ni2 Ag1 Ru1'
_space_group_name_H-M_alt 'P 1'
_space_group_IT_number 1
_space_group_name_Hall 'P 1'
_cell_length_a 4.186
_cell_length_b 4.186
_cell_length_c 4.186
_cell_angle_alpha 60.00
_cell_angle_beta 60.00
_cell_angle_gamma 60.00
loop_
_atom_site_label
_atom_site_type_symbol
_atom_site_fract_x
_atom_site_fract_y
_atom_site_fract_z
Ag1 Ag 0.500 0.500 0.500
Ni1 Ni 0.000 0.000 0.000
Ni2 Ni 0.750 0.750 0.750
Ru1 Ru 0.250 0.250 0.250
```

Calculated values
total energy	-24.078	eV/atom
energy above the most stable polymorph in this dataset	0.981	eV/f.u.
theoretical density	10.45	g/cm3
energy of formation	0.5574	eV/atom
spin magnetization	3.3	μB/f.u.